{
  "formula": "DyCr2GaO6",
  "functional": "PBE with a Hubbard U",
  "state": "relaxed",
  "cell": [[-0.163, -2.198, -4.787], [1.923, -4.850, -0.739], [-3.569, -4.144, -0.876]],
  "species": ["O", "O", "Dy", "Cr", "O", "O", "Ga", "Cr", "O", "O"],
  "fractional_positions": [[0.913, 0.616, 0.231], [0.724, 0.160, 0.748], [0.796, 0.796, 0.613], [0.518, 0.518, 0.445], [0.240, 0.913, 0.231], [0.616, 0.240, 0.230], [0.312, 0.312, 0.064], [0.014, 0.014, 0.959], [0.368, 0.724, 0.747], [0.160, 0.368, 0.747]],
  "total_magnetization_mub_per_atom": 0.600,
  "rho_g_cm3": 6.45,
  "total_energy_ev_per_atom": -7.526
}